Computed, not measured: a relaxed structure of In2Fe2O at the GGA+U level of DFT.

## Properties
DFT total energy = -4.406 eV/atom
Space-group type = No. 127

The structure in CIF format:
```
data_In2Fe2O
_space_group_name_H-M_alt 'P 1'
_space_group_IT_number 1
_cell_length_a 5.7508
_cell_length_b 5.7508
_cell_length_c 5.5826
_cell_angle_alpha 90.00
_cell_angle_beta 90.00
_cell_angle_gamma 90.00
loop_
_space_group_symop_operation_xyz
'x,y,z'
loop_
_atom_site_label
_atom_site_type_symbol
_atom_site_fract_x
_atom_site_fract_y
_atom_site_fract_z
In1 In 0.1807 0.3193 0.0000
In2 In 0.3193 0.8193 0.0000
In3 In 0.6807 0.1807 0.0000
In4 In 0.8193 0.6807 0.0000
Fe1 Fe 0.1827 0.6827 0.5000
Fe2 Fe 0.3173 0.1827 0.5000
Fe3 Fe 0.6827 0.8173 0.5000
Fe4 Fe 0.8173 0.3173 0.5000
O1 O 0.0000 0.0000 0.5000
O2 O 0.5000 0.5000 0.5000
```